A relaxed CoPd2O crystal. Source: Alexandria, functional GGA+U.

```
CoPd2O
1.0
-3.641 -0.178 -5.409
0.269 -6.517 0.034
-3.853 -3.430 -1.227
Co O Pd
2 2 4
direct
0.000 0.000 0.000
0.750 0.250 0.500
0.500 0.500 0.000
0.250 0.750 0.500
0.566 0.125 0.250
0.184 0.625 0.250
0.375 0.434 0.750
0.875 0.816 0.750
```

## Properties
The calculation puts the density of states at the Fermi level at 1.05 states/eV/atom. The total energy is -0.3521 Ry/atom. The space group is I-42d, No. 122. For the total magnetic moment, the calculation gives 5.35 μB/cell.